A plane-wave DFT calculation with GGA-PBE was carried out for a geometry-optimized Zn5Ga12Ge3 structure.

The space group is Ia-3d (No. 230) and the conventional cell measures 15.1875, 15.1875 and 15.1875 Å, with angles of 90.00, 90.00 and 90.00 degrees. Symmetry generates all atoms from Zn at (0.0000, 0.0000, 0.0000), Zn at (0.0000, 0.2500, 0.3750), Ga at (0.0176, 0.0769, 0.6507) and Ge at (0.0000, 0.2500, 0.1250).



A plane-wave DFT calculation with GGA-PBE was carried out for a geometry-optimized ZnGa2Ge structure.

The space group is Fm-3m (No. 225) and the conventional cell measures 6.6854, 6.6854 and 6.6854 Å, with angles of 90.00, 90.00 and 90.00 degrees. Symmetry generates all atoms from Zn at (0.0000, 0.0000, 0.0000), Ga at (0.2500, 0.2500, 0.2500) and Ge at (0.0000, 0.0000, 0.5000).



A plane-wave DFT calculation with GGA-PBE was carried out for a geometry-optimized Zn6Ga12Ge structure.

The space group is R-3 (No. 148, hexagonal axes) and the conventional cell measures 11.0236, 11.0236 and 10.1405 Å, with angles of 90.00, 90.00 and 120.00 degrees. Symmetry generates all atoms from Zn at (0.0299, 0.1517, 0.2019), Ga at (0.0642, 0.4627, 0.1044), Ga at (0.0650, 0.2644, 0.9419) and Ge at (0.0000, 0.0000, 0.5000).



A plane-wave DFT calculation with GGA-PBE was carried out for a geometry-optimized ZnGa3Ge structure.

The space group is Pm-3m (No. 221) and the conventional cell measures 4.8198, 4.8198 and 4.8198 Å, with angles of 90.00, 90.00 and 90.00 degrees. Symmetry generates all atoms from Zn at (0.0000, 0.0000, 0.0000), Ga at (0.0000, 0.0000, 0.5000) and Ge at (0.5000, 0.5000, 0.5000).



no.,formation energy (eV per formula unit),N(E_F) (states/eV per atom)
1,3.055,0.225
2,0.512,0.426
3,1.164,0.378
4,2.203,0.788